Entry from the Alexandria database: Er11Zn9Pd4 after structural relaxation (PBE-GGA).

Cell and atoms, written as CIF:
```
data_Er11Zn9Pd4
_cell_length_a 12.449
_cell_length_b 12.449
_cell_length_c 3.615
_cell_angle_alpha 90.00
_cell_angle_beta 90.00
_cell_angle_gamma 112.61
_space_group_name_H-M_alt 'P 1'
_space_group_IT_number 1
_space_group_name_Hall 'P 1'
loop_
_atom_site_label
_atom_site_type_symbol
_atom_site_fract_x
_atom_site_fract_y
_atom_site_fract_z
Er1 Er 0.000 0.000 0.000
Er2 Er 0.072 0.413 0.000
Er3 Er 0.170 0.830 0.000
Er4 Er 0.273 0.273 0.000
Er5 Er 0.359 0.641 0.000
Er6 Er 0.413 0.072 0.000
Er7 Er 0.587 0.928 0.000
Er8 Er 0.641 0.359 0.000
Er9 Er 0.727 0.727 0.000
Er10 Er 0.830 0.170 0.000
Er11 Er 0.928 0.587 0.000
Zn1 Zn 0.053 0.209 0.500
Zn2 Zn 0.152 0.631 0.500
Zn3 Zn 0.209 0.053 0.500
Zn4 Zn 0.369 0.848 0.500
Zn5 Zn 0.500 0.500 0.500
Zn6 Zn 0.631 0.152 0.500
Zn7 Zn 0.791 0.947 0.500
Zn8 Zn 0.848 0.369 0.500
Zn9 Zn 0.947 0.791 0.500
Pd1 Pd 0.259 0.447 0.500
Pd2 Pd 0.447 0.259 0.500
Pd3 Pd 0.553 0.741 0.500
Pd4 Pd 0.741 0.553 0.500
```

Properties
ΔE_f ... -0.5367 eV/atom
Calculated density ... 9.17 g cm⁻³
Total magnetization ... 0.000 μB/cell